LaHf2Pt PBE optimized geometry; total magnetic moment = 0.00 μB per atom; formation energy from the elements = -0.909 eV per formula unit; SG = I-42d, No. 122; raw total energy = -7.95 eV per atom
1.0
-7.0173 -2.8768 -3.0558
3.8779 -2.1679 -6.8643
-0.9689 -5.2700 -3.7529
La Pt Hf
2 2 4
direct
0.5000 0.5000 0.0000
0.2500 0.7500 0.5000
0.0000 0.0000 0.0000
0.7500 0.2500 0.5000
0.6902 0.1250 0.2500
0.8750 0.9402 0.7500
0.3750 0.3098 0.7500
0.0598 0.6250 0.2500